A relaxed AsC crystal, computed with PBE-GGA.

Cell lengths 5.975, 5.975, 5.981 Å; angles 73.42, 73.42, 30.33 degrees
Atoms (fractional coordinates):
C  0.706  0.706  0.693
C  0.642  0.642  0.922
C  0.054  0.054  0.406
As  0.048  0.048  0.080
As  0.249  0.249  0.480
As  0.468  0.468  0.587

Summary:
Magnetization: 0.0 μB/cell
Space group: No. 8
Electronic total energy: -36.56 eV per cell
Energy relative to the lowest polymorph listed for this composition: 304 meV per atom